Entry from the Alexandria database: a relaxed CaYMg2Tl4 crystal (PBE).

a = 9.275 Å, b = 9.275 Å, c = 9.275 Å
α = 32.92°, β = 32.92°, γ = 32.92°
Fractional positions:
Ca1 0.000 0.000 0.000
Y1 0.500 0.500 0.500
Mg1 0.249 0.249 0.249
Mg2 0.751 0.751 0.751
Tl1 0.124 0.124 0.124
Tl2 0.376 0.376 0.376
Tl3 0.624 0.624 0.624
Tl4 0.876 0.876 0.876

Output
The total energy is -23.2 eV for the cell shown. The value obtained for the density of states at the Fermi level is 3.195 states/eV per cell. The symmetry is R-3m, No. 166.

Entry from the Alexandria database: a relaxed Ce4ErSe7 crystal (PBE).

a = 7.180 Å, b = 7.180 Å, c = 12.366 Å
α = 104.50°, β = 104.50°, γ = 33.12°
Fractional positions:
Ce1 0.000 0.000 0.000
Ce2 0.188 0.188 0.766
Ce3 0.584 0.584 0.380
Ce4 0.886 0.886 0.571
Er1 0.771 0.771 0.150
Se1 0.155 0.155 0.222
Se2 0.226 0.226 0.521
Se3 0.381 0.381 0.077
Se4 0.545 0.545 0.625
Se5 0.628 0.628 0.930
Se6 0.848 0.848 0.789
Se7 0.923 0.923 0.351

Output
Its uncorrected formation energy is -1811 meV/atom. The value obtained for the density of states at the Fermi level is 27.963 states/eV per cell. The symmetry is Cm, No. 8.

Entry from the Alexandria database: a relaxed MnAsSe2 crystal (PBE).

a = 6.953 Å, b = 6.953 Å, c = 6.953 Å
α = 149.19°, β = 145.18°, γ = 47.17°
Fractional positions:
Mn1 0.000 0.000 0.000
As1 0.500 0.500 0.000
Se1 0.141 0.641 0.500
Se2 0.859 0.359 0.500

Output
Its uncorrected formation energy is -92 meV/atom. The value obtained for the density of states at the Fermi level is 1.695 states/eV per cell. The symmetry is Immm, No. 71.

Entry from the Alexandria database: a relaxed SbICl crystal (PBE).

a = 4.636 Å, b = 4.636 Å, c = 6.299 Å
α = 90.00°, β = 90.00°, γ = 120.00°
Fractional positions:
Sb1 0.000 0.000 0.000
I1 0.667 0.333 0.260
Cl1 0.333 0.667 0.825

Output
Its uncorrected formation energy is -193 meV/atom. The value obtained for the density of states at the Fermi level is 1.997 states/eV per cell. The calculation puts the excess energy over the best structure of this formula in the dataset at 0.268 eV/atom. The symmetry is P3m1, No. 156.

Entry from the Alexandria database: a relaxed LuZr2Zn crystal (PBE).

a = 4.401 Å, b = 4.401 Å, c = 4.505 Å
α = 90.00°, β = 90.00°, γ = 90.00°
Fractional positions:
Lu1 0.000 0.000 0.000
Zr1 0.000 0.500 0.500
Zr2 0.500 0.000 0.500
Zn1 0.500 0.500 0.000

Output
The value obtained for the density of states at the Fermi level is 5.308 states/eV per cell. The calculation puts the excess energy over the best structure of this formula in the dataset at 0.019 eV/atom. The symmetry is P4/mmm, No. 123.

Entry from the Alexandria database: a relaxed NiGe3N crystal (PBE).

a = 4.456 Å, b = 4.456 Å, c = 4.456 Å
α = 90.00°, β = 90.00°, γ = 90.00°
Fractional positions:
Ni1 0.000 0.000 0.000
Ge1 0.000 0.000 0.500
Ge2 0.000 0.500 0.000
Ge3 0.500 0.000 0.000
N1 0.500 0.500 0.500

Output
Its uncorrected formation energy is 1025 meV/atom. The value obtained for the density of states at the Fermi level is 2.032 states/eV per cell. The calculation puts the excess energy over the best structure of this formula in the dataset at 0.271 eV/atom. The symmetry is Pm-3m, No. 221.

Entry from the Alexandria database: a relaxed ZrAl2Pb crystal (PBE).

a = 3.665 Å, b = 3.665 Å, c = 6.248 Å
α = 90.00°, β = 90.00°, γ = 90.00°
Fractional positions:
Zr1 0.000 0.000 0.000
Al1 0.000 0.000 0.459
Al2 0.500 0.500 0.242
Pb1 0.500 0.500 0.715

Output
The total energy is -19.9 eV for the cell shown. The value obtained for the density of states at the Fermi level is 3.203 states/eV per cell. The symmetry is P4mm, No. 99.

Entry from the Alexandria database: a relaxed Y3Cu5Pd12 crystal (PBE).

a = 13.018 Å, b = 13.018 Å, c = 13.018 Å
α = 109.47°, β = 109.47°, γ = 109.47°
Fractional positions:
Y1 0.125 0.250 0.375
Y2 0.125 0.375 0.750
Y3 0.250 0.375 0.125
Y4 0.250 0.875 0.625
Y5 0.375 0.125 0.250
Y6 0.375 0.750 0.125
Y7 0.625 0.250 0.875
Y8 0.625 0.875 0.750
Y9 0.750 0.125 0.375
Y10 0.750 0.625 0.875
Y11 0.875 0.625 0.250
Y12 0.875 0.750 0.625
Cu1 0.000 0.000 0.000
Cu2 0.000 0.000 0.500
Cu3 0.000 0.500 0.000
Cu4 0.000 0.500 0.500
Cu5 0.125 0.750 0.875
Cu6 0.125 0.875 0.250
Cu7 0.250 0.125 0.875
Cu8 0.250 0.625 0.375
Cu9 0.375 0.250 0.625
Cu10 0.375 0.625 0.750
Cu11 0.500 0.000 0.000
Cu12 0.500 0.000 0.500
Cu13 0.500 0.500 0.000
Cu14 0.500 0.500 0.500
Cu15 0.625 0.375 0.250
Cu16 0.625 0.750 0.375
Cu17 0.750 0.375 0.625
Cu18 0.750 0.875 0.125
Cu19 0.875 0.125 0.750
Cu20 0.875 0.250 0.125
Pd1 0.054 0.218 0.135
Pd2 0.054 0.336 0.919
Pd3 0.081 0.635 0.417
Pd4 0.081 0.946 0.664
Pd5 0.083 0.718 0.664
Pd6 0.083 0.865 0.419
Pd7 0.135 0.054 0.218
Pd8 0.135 0.581 0.917
Pd9 0.164 0.218 0.583
Pd10 0.164 0.446 0.581
Pd11 0.218 0.135 0.054
Pd12 0.218 0.583 0.164
Pd13 0.282 0.336 0.917
Pd14 0.282 0.446 0.365
Pd15 0.336 0.917 0.282
Pd16 0.336 0.919 0.054
Pd17 0.365 0.282 0.446
Pd18 0.365 0.583 0.919
Pd19 0.417 0.081 0.635
Pd20 0.417 0.836 0.782
Pd21 0.419 0.083 0.865
Pd22 0.419 0.836 0.554
Pd23 0.446 0.365 0.282
Pd24 0.446 0.581 0.164
Pd25 0.554 0.419 0.836
Pd26 0.554 0.635 0.718
Pd27 0.581 0.164 0.446
Pd28 0.581 0.917 0.135
Pd29 0.583 0.164 0.218
Pd30 0.583 0.919 0.365
Pd31 0.635 0.417 0.081
Pd32 0.635 0.718 0.554
Pd33 0.664 0.081 0.946
Pd34 0.664 0.083 0.718
Pd35 0.718 0.554 0.635
Pd36 0.718 0.664 0.083
Pd37 0.782 0.417 0.836
Pd38 0.782 0.865 0.946
Pd39 0.836 0.554 0.419
Pd40 0.836 0.782 0.417
Pd41 0.865 0.419 0.083
Pd42 0.865 0.946 0.782
Pd43 0.917 0.135 0.581
Pd44 0.917 0.282 0.336
Pd45 0.919 0.054 0.336
Pd46 0.919 0.365 0.583
Pd47 0.946 0.664 0.081
Pd48 0.946 0.782 0.865

Output
The total energy is -397.6 eV for the cell shown. The value obtained for the density of states at the Fermi level is 35.720 states/eV per cell. The symmetry is Ia-3d, No. 230.

Entry from the Alexandria database: a relaxed DyTmAl6 crystal (PBE).

a = 5.483 Å, b = 5.483 Å, c = 5.483 Å
α = 90.00°, β = 90.00°, γ = 90.00°
Fractional positions:
Dy1 0.000 0.000 0.000
Tm1 0.500 0.500 0.500
Al1 0.000 0.500 0.250
Al2 0.000 0.500 0.750
Al3 0.250 0.000 0.500
Al4 0.500 0.250 0.000
Al5 0.500 0.750 0.000
Al6 0.750 0.000 0.500

Output
The value obtained for the density of states at the Fermi level is 5.166 states/eV per cell. The calculation puts the excess energy over the best structure of this formula in the dataset at 0.318 eV/atom. The symmetry is Pm-3, No. 200.

Entry from the Alexandria database: a relaxed TbPmErPu crystal (PBE).

a = 5.620 Å, b = 5.620 Å, c = 5.620 Å
α = 60.00°, β = 60.00°, γ = 60.00°
Fractional positions:
Tb1 0.000 0.000 0.000
Pm1 0.750 0.750 0.750
Er1 0.500 0.500 0.500
Pu1 0.250 0.250 0.250

Output
The total energy is -27.4 eV for the cell shown. The value obtained for the density of states at the Fermi level is 11.804 states/eV per cell. The symmetry is F-43m, No. 216.

Entry from the Alexandria database: a relaxed K2ZnSn3 crystal (PBE).

a = 7.297 Å, b = 7.297 Å, c = 9.596 Å
α = 90.00°, β = 90.00°, γ = 120.00°
Fractional positions:
K1 0.000 0.000 0.000
K2 0.000 0.000 0.500
K3 0.333 0.667 0.128
K4 0.667 0.333 0.872
Zn1 0.333 0.667 0.480
Zn2 0.667 0.333 0.520
Sn1 0.199 0.398 0.747
Sn2 0.199 0.801 0.747
Sn3 0.398 0.199 0.253
Sn4 0.602 0.801 0.747
Sn5 0.801 0.199 0.253
Sn6 0.801 0.602 0.253

Output
The total energy is -29.0 eV for the cell shown. The value obtained for the density of states at the Fermi level is 9.183 states/eV per cell. The symmetry is P-3m1, No. 164.

Entry from the Alexandria database: a relaxed Sb4IrRu crystal (PBE).

a = 5.875 Å, b = 5.875 Å, c = 5.875 Å
α = 60.00°, β = 60.00°, γ = 60.00°
Fractional positions:
Sb1 0.125 0.125 0.125
Sb2 0.125 0.125 0.625
Sb3 0.125 0.625 0.125
Sb4 0.625 0.125 0.125
Ir1 0.750 0.750 0.750
Ru1 0.500 0.500 0.500

Output
Its uncorrected formation energy is 1304 meV/atom. The value obtained for the density of states at the Fermi level is 5.757 states/eV per cell. The calculation puts the excess energy over the best structure of this formula in the dataset at 1.409 eV/atom. The symmetry is F-43m, No. 216.